Run a
{
  "formula": "Ce2PmCu",
  "functional": "GGA-PBE",
  "state": "relaxed",
  "crystal_system": "tetragonal",
  "cell": [[-2.995, -1.128, 1.689], [-1.183, -1.478, -3.084], [3.730, -7.012, 1.930]],
  "species": ["Ce", "Ce", "Pm", "Cu"],
  "frac_coords": [[0.000, 0.000, 0.810], [0.000, 0.000, 0.190], [0.500, 0.500, 0.500], [0.500, 0.500, 0.000]]
}



Run b
{
  "formula": "Ce2PmCu",
  "functional": "GGA-PBE",
  "state": "relaxed",
  "crystal_system": "trigonal",
  "cell": [[3.279, 0.000, 0.000], [1.640, 2.840, 0.000], [1.640, 0.947, 11.099]],
  "species": ["Pm", "Ce", "Ce", "Cu"],
  "frac_coords": [[0.000, 0.000, 0.000], [0.098, 0.098, 0.705], [0.902, 0.902, 0.295], [0.500, 0.500, 0.500]]
}



Q: What are the energies relative to the best structure? A: run a 0; run b 220, in meV per atom.